A:
Material: ReAg
Method: DFT, PBE
State: relaxed

Cell and atoms, written as CIF:
```
data_ReAg
_cell_length_a 4.643
_cell_length_b 7.900
_cell_length_c 15.138
_cell_angle_alpha 90.00
_cell_angle_beta 90.00
_cell_angle_gamma 90.00
_symmetry_space_group_name_H-M 'F d d d'
_symmetry_Int_Tables_number 70
loop_
_symmetry_equiv_pos_as_xyz
'x,y,z'
'-x,-y,-z'
'-x+1/4,-y+1/4,z'
'x+1/4,y+1/4,-z'
'x,-y+1/4,-z+1/4'
'-x,y+1/4,z+1/4'
'-x+1/4,y,-z+1/4'
'x+1/4,-y,z+1/4'
'x,y+1/2,z+1/2'
'-x,-y+1/2,-z+1/2'
'-x+1/4,-y+3/4,z+1/2'
'x+1/4,y+3/4,-z+1/2'
'x,-y+3/4,-z+3/4'
'-x,y+3/4,z+3/4'
'-x+1/4,y+1/2,-z+3/4'
'x+1/4,-y+1/2,z+3/4'
'x+1/2,y,z+1/2'
'-x+1/2,-y,-z+1/2'
'-x+3/4,-y+1/4,z+1/2'
'x+3/4,y+1/4,-z+1/2'
'x+1/2,-y+1/4,-z+3/4'
'-x+1/2,y+1/4,z+3/4'
'-x+3/4,y,-z+3/4'
'x+3/4,-y,z+3/4'
'x+1/2,y+1/2,z'
'-x+1/2,-y+1/2,-z'
'-x+3/4,-y+3/4,z'
'x+3/4,y+3/4,-z'
'x+1/2,-y+3/4,-z+1/4'
'-x+1/2,y+3/4,z+1/4'
'-x+3/4,y+1/2,-z+1/4'
'x+3/4,-y+1/2,z+1/4'
loop_
_atom_site_label
_atom_site_type_symbol
_atom_site_fract_x
_atom_site_fract_y
_atom_site_fract_z
Re1 Re 0.125 0.125 0.041
Ag1 Ag 0.125 0.290 0.625
```

***

B:
Material: ReAg
Method: DFT, PBE
State: relaxed

Cell and atoms, written as CIF:
```
data_ReAg
_cell_length_a 3.644
_cell_length_b 4.467
_cell_length_c 8.150
_cell_angle_alpha 90.00
_cell_angle_beta 90.00
_cell_angle_gamma 90.00
_symmetry_space_group_name_H-M 'I m m a'
_symmetry_Int_Tables_number 74
_symmetry_space_group_name_Hall '-I 2b 2'
loop_
_atom_site_label
_atom_site_type_symbol
_atom_site_fract_x
_atom_site_fract_y
_atom_site_fract_z
Re1 Re 0.000 0.250 0.149
Ag1 Ag 0.000 0.250 0.621
```

***

Most stable structure, least stable structure: B, A.

***

A:
Material: ZrTl2Mo
Method: DFT, PBE
State: relaxed

Cell and atoms, written as CIF:
```
data_ZrTl2Mo
_cell_length_a 7.836
_cell_length_b 7.836
_cell_length_c 5.990
_cell_angle_alpha 90.00
_cell_angle_beta 90.00
_cell_angle_gamma 90.00
_symmetry_space_group_name_H-M 'I -4 2 d'
_symmetry_Int_Tables_number 122
_symmetry_space_group_name_Hall 'I -4 2bw'
loop_
_atom_site_label
_atom_site_type_symbol
_atom_site_fract_x
_atom_site_fract_y
_atom_site_fract_z
Zr1 Zr 0.000 0.000 0.000
Tl1 Tl 0.235 0.750 0.625
Mo1 Mo 0.000 0.000 0.500
```

***

B:
Material: ZrTl2Mo
Method: DFT, PBE
State: relaxed

Cell and atoms, written as CIF:
```
data_ZrTl2Mo
_cell_length_a 3.061
_cell_length_b 4.469
_cell_length_c 6.137
_cell_angle_alpha 90.00
_cell_angle_beta 90.00
_cell_angle_gamma 90.00
_symmetry_space_group_name_H-M 'P m m m'
_symmetry_Int_Tables_number 47
_symmetry_space_group_name_Hall '-P 2 2'
loop_
_atom_site_label
_atom_site_type_symbol
_atom_site_fract_x
_atom_site_fract_y
_atom_site_fract_z
Zr1 Zr 0.000 0.000 0.000
Tl1 Tl 0.500 0.500 0.260
Mo1 Mo 0.000 0.000 0.500
```

***

Most stable structure, least stable structure: B, A.